(1)
DFT (GGA-PBE) results for crystalline RbMgP2Os at its relaxed geometry.

Lattice parameters (Å, degrees): 4.6989 4.6989 5.0815 90.00 90.00 90.00
Element x y z (fractional)
Rb 0.0000 0.0000 0.0000
Mg 0.5000 0.5000 0.0000
P 0.0000 0.5000 0.5000
P 0.5000 0.0000 0.5000
Os 0.5000 0.5000 0.5000

Properties
Symmetry   No. 123
Raw total energy   -4.82 eV/atom
Formation energy   0.5 eV per formula unit

(2)
DFT (GGA-PBE) results for crystalline MgPOsS2 at its relaxed geometry.

Lattice parameters (Å, degrees): 4.5874 4.5874 4.7792 90.00 90.00 90.00
Element x y z (fractional)
Mg 0.0000 0.0000 0.0000
P 0.0000 0.0000 0.5000
Os 0.5000 0.5000 0.5000
S 0.0000 0.5000 0.0000
S 0.5000 0.0000 0.0000

Properties
Symmetry   No. 123
Excess energy over the best structure of this formula in the dataset   1076 meV/atom
Raw total energy   -3.87 eV/atom
Formation energy from raw total energies   1.4298 eV per atom

(3)
DFT (GGA-PBE) results for crystalline MgPOsS2 at its relaxed geometry.

Lattice parameters (Å, degrees): 4.8565 4.8565 4.4065 90.00 90.00 90.00
Element x y z (fractional)
Mg 0.0000 0.0000 0.0000
P 0.5000 0.5000 0.0000
Os 0.5000 0.5000 0.5000
S 0.0000 0.5000 0.5000
S 0.5000 0.0000 0.5000

Properties
Symmetry   No. 123
Excess energy over the best structure of this formula in the dataset   0 meV/atom
Raw total energy   -4.94 eV/atom
Formation energy from raw total energies   0.3543 eV per atom

(4)
DFT (GGA-PBE) results for crystalline Mg2POsS at its relaxed geometry.

Lattice parameters (Å, degrees): 4.7509 4.7509 4.6187 90.00 90.00 90.00
Element x y z (fractional)
Mg 0.0000 0.5000 0.0000
Mg 0.5000 0.0000 0.0000
P 0.0000 0.0000 0.0000
Os 0.5000 0.5000 0.5000
S 0.0000 0.0000 0.5000

Properties
Symmetry   No. 123
Raw total energy   -3.81 eV/atom
Formation energy from raw total energies   0.9823 eV per atom

(5)
DFT (GGA-PBE) results for crystalline MgSiP2Os at its relaxed geometry.

Lattice parameters (Å, degrees): 4.5005 4.5005 5.1084 90.00 90.00 90.00
Element x y z (fractional)
Mg 0.0000 0.0000 0.0000
Si 0.5000 0.5000 0.0000
P 0.0000 0.5000 0.5000
P 0.5000 0.0000 0.5000
Os 0.0000 0.0000 0.5000

Properties
Symmetry   No. 123
Raw total energy   -5.19 eV/atom
Formation energy from raw total energies   0.6194 eV per atom

(6)
DFT (GGA-PBE) results for crystalline Mg2TaPOs at its relaxed geometry.

Lattice parameters (Å, degrees): 4.6975 4.6975 4.3117 90.00 90.00 90.00
Element x y z (fractional)
Mg 0.0000 0.5000 0.0000
Mg 0.5000 0.0000 0.0000
Ta 0.0000 0.0000 0.5000
P 0.5000 0.5000 0.0000
Os 0.5000 0.5000 0.5000

Properties
Symmetry   No. 123
Raw total energy   -5.57 eV/atom
Formation energy   3.8 eV per formula unit

(7)
DFT (GGA-PBE) results for crystalline MgPOsW2 at its relaxed geometry.

Lattice parameters (Å, degrees): 4.6182 4.6182 4.4332 90.00 90.00 90.00
Element x y z (fractional)
Mg 0.0000 0.0000 0.0000
P 0.5000 0.5000 0.5000
Os 0.0000 0.0000 0.5000
W 0.0000 0.5000 0.0000
W 0.5000 0.0000 0.0000

Properties
Symmetry   No. 123
Raw total energy   -6.10 eV/atom
Formation energy   13.6 eV per formula unit

(8)
DFT (GGA-PBE) results for crystalline MgPaOs at its relaxed geometry.

Lattice parameters (Å, degrees): 6.4884 6.4884 6.4884 151.29 151.29 41.05
Element x y z (fractional)
Mg 0.0000 0.0000 0.0000
Pa 0.2766 0.2766 0.0000
Os 0.6396 0.6396 0.0000

Properties
Symmetry   No. 107
Excess energy over the best structure of this formula in the dataset   162 meV/atom
Raw total energy   -7.50 eV/atom
Formation energy   -0.2 eV per formula unit